No. 1
This record from Alexandria via LeMat-Bulk describes FeAuC2 after structural relaxation. The functional is PBE.

Lattice parameters (Å, degrees): 6.5387 3.2938 5.2520 90.00 103.58 90.00
Space group Cm (No. 8)
Unique sites:
1 Fe 0.0000 0.0000 0.0000
2 Au 0.1362 0.5000 0.5973
3 C 0.0964 0.5000 0.2010
4 C 0.2072 0.5000 0.0115

Calculated values
DOS at the Fermi energy   2.0 states/eV/f.u.
VASP energy   -6.739 eV/atom
Energy relative to the elements   0.8078 eV per atom



No. 2
This record from Alexandria via LeMat-Bulk describes FeAuC2 after structural relaxation. The functional is PBE.

Lattice parameters (Å, degrees): 5.5262 5.5262 5.5262 90.00 90.00 90.00
Space group Fm-3m (No. 225)
Unique sites:
1 Fe 0.0000 0.0000 0.0000
2 Au 0.0000 0.0000 0.5000
3 C 0.2500 0.2500 0.2500

Calculated values
DOS at the Fermi energy   2.3 states/eV/f.u.
VASP energy   -5.523 eV/atom
Energy relative to the elements   2.0239 eV per atom



No. 3
This record from Alexandria via LeMat-Bulk describes FeAuC2 after structural relaxation. The functional is PBE.

Lattice parameters (Å, degrees): 3.1365 3.1365 4.9130 90.00 90.00 90.00
Space group P-4m2 (No. 115)
Unique sites:
1 Fe 0.0000 0.0000 0.0000
2 Au 0.5000 0.5000 0.5000
3 C 0.0000 0.5000 0.1953

Calculated values
DOS at the Fermi energy   1.5 states/eV/f.u.
VASP energy   -6.456 eV/atom
Energy relative to the elements   1.0905 eV per atom



No. 4
This record from Alexandria via LeMat-Bulk describes FeAuC2 after structural relaxation. The functional is PBE.

Lattice parameters (Å, degrees): 11.6238 2.5955 2.9368 90.00 90.02 90.00
Space group Cm (No. 8)
Unique sites:
1 Fe 0.0000 0.0000 0.0000
2 Au 0.1802 0.5000 0.5033
3 C 0.3691 0.5000 0.5003
4 C 0.4257 0.0000 0.4996

Calculated values
DOS at the Fermi energy   2.4 states/eV/f.u.
VASP energy   -6.860 eV/atom
Energy relative to the elements   0.6870 eV per atom



No. 5
This record from Alexandria via LeMat-Bulk describes FeAuC2 after structural relaxation. The functional is PBE.

Lattice parameters (Å, degrees): 4.2122 2.6432 4.8793 90.00 110.91 90.00
Space group P2/m (No. 10)
Unique sites:
1 Fe 0.0000 0.0000 0.0000
2 Au 0.0000 0.5000 0.5000
3 C 0.3307 0.5000 0.9828

Calculated values
DOS at the Fermi energy   2.1 states/eV/f.u.
VASP energy   -6.829 eV/atom
Energy relative to the elements   0.7180 eV per atom



No. 6
This record from Alexandria via LeMat-Bulk describes FeAu3C after structural relaxation. The functional is PBE.

Lattice parameters (Å, degrees): 4.7286 4.7286 4.7286 90.00 90.00 90.00
Space group Pm-3m (No. 221)
Unique sites:
1 Fe 0.0000 0.0000 0.0000
2 Au 0.0000 0.0000 0.5000
3 C 0.5000 0.5000 0.5000

Calculated values
DOS at the Fermi energy   12.1 states/eV/f.u.
VASP energy   -3.123 eV/atom
Energy relative to the elements   2.3809 eV per atom



Number 1: total magnetization 2.459 μB per formula unit, distance to the lowest polymorph of the same formula 15.73 kJ per mole of atoms. Number 2: total magnetization 2.604 μB per formula unit, distance to the lowest polymorph of the same formula 133.07 kJ per mole of atoms. Number 3: total magnetization 0.000 μB per formula unit, distance to the lowest polymorph of the same formula 43.01 kJ per mole of atoms. Number 4: total magnetization 1.822 μB per formula unit, distance to the lowest polymorph of the same formula 4.08 kJ per mole of atoms. Number 5: total magnetization 1.277 μB per formula unit, distance to the lowest polymorph of the same formula 7.07 kJ per mole of atoms. Number 6: total magnetization 0.000 μB per formula unit, distance to the lowest polymorph of the same formula 139.28 kJ per mole of atoms.